The following is a PBE calculation of a geometry-optimized Cs3Tl8Hg3 structure, from Alexandria via LeMat-Bulk.

Summary:
Calculated density in g cm⁻³: 8.1
Total magnetic moment in μB per formula unit: 0.0
Total DFT energy (no corrections) in eV/atom: -1.682
ΔE_f in eV per atom: -0.08

Cell lengths 10.509, 10.509, 10.509 Å; angles 150.29, 105.75, 81.95 degrees
Fractional positions:
Cs1 0.000 0.000 0.000
Cs2 0.325 0.325 0.000
Cs3 0.675 0.675 0.000
Tl1 0.032 0.693 0.340
Tl2 0.174 0.890 0.284
Tl3 0.353 0.693 0.660
Tl4 0.393 0.110 0.284
Tl5 0.607 0.890 0.716
Tl6 0.647 0.307 0.340
Tl7 0.826 0.110 0.716
Tl8 0.968 0.307 0.660
Hg1 0.244 0.500 0.744
Hg2 0.500 0.000 0.500
Hg3 0.756 0.500 0.256